<P>
NaAlOsW GGA-PBE relaxed; SG = No. 216
1.0
0.000 3.123 3.123
3.123 0.000 3.123
3.123 3.123 0.000
Na Al Os W
1 1 1 1
Direct
0.750 0.750 0.750
0.000 0.000 0.000
0.250 0.250 0.250
0.500 0.500 0.500



<Q>
NaAlOsW GGA-PBE relaxed; SG = No. 216
1.0
3.405 -0.848 2.725
2.898 3.215 1.001
0.062 1.742 4.087
Na Al W Os
1 1 1 1
Direct
0.750 0.750 0.750
0.500 0.500 0.500
0.250 0.250 0.250
0.000 0.000 0.000



On energetic grounds, <P> is preferred over the next structure by 16.9 kJ/mol of atoms.



<P>
NaAlPdPb GGA-PBE relaxed; SG = No. 216
1.0
0.000 3.468 3.468
3.468 0.000 3.468
3.468 3.468 0.000
Pb Na Al Pd
1 1 1 1
Direct
0.250 0.250 0.250
0.750 0.750 0.750
0.500 0.500 0.500
0.000 0.000 0.000



<Q>
NaAlPdPb GGA-PBE relaxed; SG = No. 216
1.0
0.000 3.400 3.400
3.400 0.000 3.400
3.400 3.400 0.000
Na Pd Pb Al
1 1 1 1
Direct
0.750 0.750 0.750
0.250 0.250 0.250
0.500 0.500 0.500
0.000 0.000 0.000



On energetic grounds, <Q> is preferred over the next structure by 11.6 kJ/mol of atoms.



<P>
NaAlSnPd GGA-PBE relaxed; SG = No. 216
1.0
0.000 3.358 3.358
3.358 0.000 3.358
3.358 3.358 0.000
Al Na Sn Pd
1 1 1 1
Direct
0.250 0.250 0.250
0.750 0.750 0.750
0.000 0.000 0.000
0.500 0.500 0.500



<Q>
NaAlSnPd GGA-PBE relaxed; SG = No. 216
1.0
0.000 3.382 3.382
3.382 0.000 3.382
3.382 3.382 0.000
Sn Pd Na Al
1 1 1 1
Direct
0.250 0.250 0.250
0.500 0.500 0.500
0.750 0.750 0.750
0.000 0.000 0.000



<R>
NaAlSnPd GGA-PBE relaxed; SG = No. 216
1.0
0.000 3.337 3.337
3.337 0.000 3.337
3.337 3.337 0.000
Al Pd Sn Na
1 1 1 1
Direct
0.500 0.500 0.500
0.250 0.250 0.250
0.000 0.000 0.000
0.750 0.750 0.750



On energetic grounds, <R> is preferred over the next structure by 5.9 kJ/mol of atoms.



<P>
NaZrAlPd GGA-PBE relaxed; SG = No. 216
1.0
1.170 -4.310 1.596
-3.075 -2.468 2.636
-2.111 -3.848 -1.798
Zr Na Pd Al
1 1 1 1
Direct
0.250 0.250 0.250
0.750 0.750 0.750
0.500 0.500 0.500
0.000 0.000 0.000



<Q>
NaZrAlPd GGA-PBE relaxed; SG = No. 216
1.0
-3.759 -2.167 -1.635
-4.032 2.268 -0.312
-1.705 1.135 -4.159
Zr Pd Al Na
1 1 1 1
Direct
0.000 0.000 0.000
0.250 0.250 0.250
0.500 0.500 0.500
0.750 0.750 0.750



On energetic grounds, <Q> is preferred over the next structure by 13.2 kJ/mol of atoms.



<P>
NaPuAl GGA-PBE relaxed; SG = No. 216
1.0
0.000 3.606 3.606
3.606 0.000 3.606
3.606 3.606 0.000
Al Na Pu
1 1 1
Direct
0.000 0.000 0.000
0.500 0.500 0.500
0.250 0.250 0.250



<Q>
NaPuAl GGA-PBE relaxed; SG = No. 216
1.0
2.898 2.520 3.088
-0.941 4.744 0.944
-1.695 1.342 4.428
Na Al Pu
1 1 1
Direct
0.000 0.000 0.000
0.250 0.250 0.250
0.750 0.750 0.750



On energetic grounds, <Q> is preferred over the next structure by 5.0 kJ/mol of atoms.



<P>
NbAlNiPd GGA-PBE relaxed; SG = No. 216
1.0
0.000 3.092 3.092
3.092 0.000 3.092
3.092 3.092 0.000
Nb Ni Al Pd
1 1 1 1
Direct
0.250 0.250 0.250
0.750 0.750 0.750
0.000 0.000 0.000
0.500 0.500 0.500



<Q>
NbAlNiPd GGA-PBE relaxed; SG = No. 216
1.0
0.000 3.092 3.092
3.092 0.000 3.092
3.092 3.092 0.000
Al Pd Ni Nb
1 1 1 1
Direct
0.000 0.000 0.000
0.250 0.250 0.250
0.750 0.750 0.750
0.500 0.500 0.500



On energetic grounds, <Q> is preferred over the next structure by 14.8 kJ/mol of atoms.



<P>
NbAlPO GGA-PBE relaxed; SG = No. 129
1.0
3.494 0.000 0.000
0.000 3.494 0.000
0.000 0.000 8.903
O Al Nb P
2 2 2 2
Direct
0.250 0.750 0.000
0.750 0.250 0.000
0.250 0.750 0.500
0.750 0.250 0.500
0.250 0.250 0.149
0.750 0.750 0.851
0.750 0.750 0.276
0.250 0.250 0.724



<Q>
NbAlPO GGA-PBE relaxed; SG = No. 26
1.0
-2.664 1.035 1.464
2.074 -1.522 4.849
2.575 5.670 0.679
O Nb P Al
2 2 2 2
Direct
0.500 0.279 0.895
0.500 0.721 0.395
0.500 0.915 0.093
0.500 0.085 0.593
0.000 0.809 0.796
0.000 0.191 0.296
0.000 0.428 0.971
0.000 0.572 0.471



<R>
NbAlPO GGA-PBE relaxed; SG = No. 26
1.0
3.609 0.000 0.000
0.000 6.893 0.000
0.000 0.000 5.020
P O Al Nb
2 2 2 2
Direct
0.000 0.719 0.899
0.000 0.281 0.399
0.500 0.865 0.402
0.500 0.135 0.902
0.500 0.894 0.045
0.500 0.106 0.545
0.000 0.636 0.409
0.000 0.364 0.909



<S>
NbAlPO GGA-PBE relaxed; SG = No. 129
1.0
-1.386 0.651 -3.438
0.582 -3.604 -0.917
-8.550 -2.153 3.040
Al Nb P O
2 2 2 2
Direct
0.500 0.500 0.070
0.000 0.000 0.930
0.000 0.500 0.500
0.500 0.000 0.500
0.500 0.500 0.315
0.000 0.000 0.685
0.000 0.500 0.000
0.500 0.000 0.000



On energetic grounds, <S> is preferred over the next structure by 12.8 kJ/mol of atoms.



<P>
PrNbAl GGA-PBE relaxed; SG = No. 216
1.0
0.000 3.441 3.441
3.441 0.000 3.441
3.441 3.441 0.000
Al Nb Pr
1 1 1
Direct
0.500 0.500 0.500
0.250 0.250 0.250
0.000 0.000 0.000



<Q>
PrNbAl GGA-PBE relaxed; SG = No. 216
1.0
4.521 0.161 2.066
1.990 4.371 1.290
0.498 1.184 4.804
Pr Nb Al
1 1 1
Direct
0.000 0.000 0.000
0.750 0.750 0.750
0.250 0.250 0.250



On energetic grounds, <P> is preferred over the next structure by 42.6 kJ/mol of atoms.



<P>
RbNbAl GGA-PBE relaxed; SG = No. 216
1.0
0.000 3.662 3.662
3.662 0.000 3.662
3.662 3.662 0.000
Nb Rb Al
1 1 1
Direct
0.250 0.250 0.250
0.750 0.750 0.750
0.000 0.000 0.000



<Q>
RbNbAl GGA-PBE relaxed; SG = No. 216
1.0
2.010 -4.535 -2.286
-3.309 -3.378 -2.734
0.374 -0.383 -5.436
Rb Al Nb
1 1 1
Direct
0.000 0.000 0.000
0.250 0.250 0.250
0.750 0.750 0.750



On energetic grounds, <P> is preferred over the next structure by 60.7 kJ/mol of atoms.



<P>
NbAl2Re2 GGA-PBE relaxed; SG = No. 139
1.0
-1.731 1.731 6.795
1.731 -1.731 6.795
1.731 1.731 -6.795
Re Nb Al
2 1 2
Direct
0.603 0.603 0.000
0.397 0.397 0.000
0.000 0.000 0.000
0.750 0.250 0.500
0.250 0.750 0.500



<Q>
NbAl2Re2 GGA-PBE relaxed; SG = No. 139
1.0
-1.688 -4.937 3.872
-4.150 -0.416 4.983
0.984 2.032 -6.093
Re Al Nb
2 2 1
Direct
0.750 0.250 0.500
0.250 0.750 0.500
0.401 0.401 0.000
0.599 0.599 0.000
0.000 0.000 0.000



On energetic grounds, <P> is preferred over the next structure by 13.6 kJ/mol of atoms.



<P>
NbAlTl GGA-PBE relaxed; SG = No. 216
1.0
0.000 3.282 3.282
3.282 0.000 3.282
3.282 3.282 0.000
Al Nb Tl
1 1 1
Direct
0.250 0.250 0.250
0.000 0.000 0.000
0.750 0.750 0.750



<Q>
NbAlTl GGA-PBE relaxed; SG = No. 216
1.0
0.000 3.254 3.254
3.254 0.000 3.254
3.254 3.254 0.000
Nb Al Tl
1 1 1
Direct
0.750 0.750 0.750
0.250 0.250 0.250
0.000 0.000 0.000



On energetic grounds, <P> is preferred over the next structure by 18.3 kJ/mol of atoms.



<P>
UNbAl GGA-PBE relaxed; SG = No. 216
1.0
0.000 3.214 3.214
3.214 0.000 3.214
3.214 3.214 0.000
Al Nb U
1 1 1
Direct
0.500 0.500 0.500
0.250 0.250 0.250
0.000 0.000 0.000



<Q>
UNbAl GGA-PBE relaxed; SG = No. 216
1.0
0.000 3.249 3.249
3.249 0.000 3.249
3.249 3.249 0.000
Al Nb U
1 1 1
Direct
0.750 0.750 0.750
0.250 0.250 0.250
0.000 0.000 0.000



On energetic grounds, <P> is preferred over the next structure by 56.5 kJ/mol of atoms.